Here is an optimized crystal structure of CdAs2SeN from Alexandria. Energies are from PBE.

Computed properties:
distance to the lowest polymorph of the same formula: 1104 meV per atom
total moment: 0.0 μB/cell
energy relative to the elements, uncorrected: 1.85 eV per atom

Unit cell a=5.0100 b=5.1904 c=5.0100 alpha=90.00 beta=90.00 gamma=90.00
With the nearest neighbours (Å) after each atom.
Fractional positions:
As: 0.0000 0.0000 0.5000  2 Se 2.51
As: 0.5000 0.0000 0.0000  2 Se 2.51
N: 0.5000 0.5000 0.5000  4 Cd 3.54, 8 As 3.61
Se: 0.0000 0.0000 0.0000  4 As 2.51, 2 Cd 2.60
Cd: 0.0000 0.5000 0.0000  2 Se 2.60